No. 1
First-principles (GGA-PBE) data for a geometry-optimized Na4In3PdO8 structure, as listed in the Alexandria database.

The space group is No. 12. The mass density is 5.474 Mg/m³. The value obtained for the uncorrected formation energy is -1.4273 eV per atom.

Structure (extended XYZ):
```
16
Lattice="5.723 -3.233 0.000 5.723 3.233 0.000 -3.709 0.000 5.500" Properties=species:S:1:pos:R:3 pbc="T T T"
Na 0.000 0.000 0.000
Na 2.861 1.616 0.000
Na 2.861 -1.616 0.000
Na 5.723 0.000 0.000
In -1.854 0.000 2.750
In 1.007 1.616 2.750
In 1.007 -1.616 2.750
Pd 3.868 0.000 2.750
O 0.045 0.000 3.938
O 1.815 0.000 1.502
O 2.965 1.538 3.882
O 4.772 1.538 1.619
O 2.965 -1.538 3.882
O 4.772 -1.538 1.619
O 5.921 0.000 3.998
O 7.692 0.000 1.563
```


No. 2
First-principles (GGA-PBE) data for a geometry-optimized Na3InPd3O8 structure, as listed in the Alexandria database.

The space group is No. 12. The mass density is 5.279 Mg/m³. The value obtained for the uncorrected formation energy is -0.9367 eV per atom.

Structure (extended XYZ):
```
15
Lattice="5.847 -3.087 0.000 5.847 3.087 0.000 -3.065 0.000 5.498" Properties=species:S:1:pos:R:3 pbc="T T T"
Na 0.000 0.000 0.000
Na 2.924 1.544 0.000
Na 2.924 -1.544 0.000
In -1.533 0.000 2.749
Pd 1.391 1.544 2.749
Pd 1.391 -1.544 2.749
Pd 4.314 0.000 2.749
O 3.248 1.442 3.692
O 1.796 0.000 1.440
O 0.516 0.000 3.833
O 5.381 1.442 1.806
O 3.248 -1.442 3.692
O 8.113 0.000 1.665
O 6.833 0.000 4.058
O 5.381 -1.442 1.806
```


No. 3
First-principles (GGA-PBE) data for a geometry-optimized NaPmIn4O8 structure, as listed in the Alexandria database.

The space group is No. 160. The mass density is 6.128 Mg/m³. The value obtained for the uncorrected formation energy is -1.8500 eV per atom.

Structure (extended XYZ):
```
14
Lattice="3.318 1.916 5.365 -3.318 1.916 5.365 0.000 -3.832 5.365" Properties=species:S:1:pos:R:3 pbc="T T T"
Na 0.000 0.000 0.000
Pm 0.000 0.000 6.137
In 0.000 -1.900 2.678
In -1.645 0.950 2.678
In 1.645 0.950 2.678
In 0.000 0.000 9.929
O -1.730 -0.999 9.226
O 0.000 0.000 3.868
O 0.000 -2.067 6.893
O -1.790 1.034 6.893
O 1.730 -0.999 9.226
O 0.000 1.997 9.226
O 0.000 0.000 12.123
O 1.790 1.034 6.893
```


Q: Which value of mass density does entry 3 give?
A: 6.128 Mg/m³